i.
A plane-wave DFT calculation with GGA-PBE was carried out for a relaxed structure of TiSe2NF.

Unit cell a=4.5300 b=4.5300 c=3.8381 alpha=90.00 beta=90.00 gamma=90.00
Last column: nearest neighbours and their distance in Å.
Atoms (fractional coordinates):
Se: 0.5000 0.0000 0.0000  2 F 2.26
Se: 0.0000 0.5000 0.0000  2 F 2.26
Ti: 0.5000 0.5000 0.5000  8 Se 2.97, 4 N 3.20
N: 0.0000 0.0000 0.5000  2 F 1.92
F: 0.0000 0.0000 0.0000  2 N 1.92

Calculated values
The total magnetization is 0.088 μB per formula unit. As for the density of states at the Fermi level: 0.655 states/eV/atom. For the calculated volume, the calculation gives 15.75 Å³/atom. The space-group type is P4/mmm, No. 123.

ii.
A plane-wave DFT calculation with GGA-PBE was carried out for a relaxed structure of TiSe2NF.

Unit cell a=4.9246 b=4.9246 c=3.8320 alpha=90.00 beta=90.00 gamma=90.00
Last column: nearest neighbours and their distance in Å.
Atoms (fractional coordinates):
Se: 0.5000 0.0000 0.0000  2 Ti 2.46
Se: 0.0000 0.5000 0.0000  2 Ti 2.46
F: 0.5000 0.5000 0.5000  8 Se 3.12, 4 N 3.48
N: 0.0000 0.0000 0.5000  2 Ti 1.92
Ti: 0.0000 0.0000 0.0000  2 N 1.92

Calculated values
The total magnetization is 0.870 μB per formula unit. As for the density of states at the Fermi level: 1.090 states/eV/atom. For the calculated volume, the calculation gives 18.59 Å³/atom. The space-group type is P4/mmm, No. 123.

It is i that is the least stable of them.

i.
A plane-wave DFT calculation with GGA-PBE was carried out for a relaxed structure of TlSe2NF.

Unit cell a=5.6202 b=5.6202 c=4.3979 alpha=90.00 beta=90.00 gamma=90.00
Last column: nearest neighbours and their distance in Å.
Atoms (fractional coordinates):
Se: 0.5000 0.0000 0.0000  2 Tl 2.81
Se: 0.0000 0.5000 0.0000  2 Tl 2.81
N: 0.0000 0.0000 0.5000  2 Tl 2.20
F: 0.5000 0.5000 0.5000  8 Se 3.57, 4 N 3.97
Tl: 0.0000 0.0000 0.0000  2 N 2.20

Calculated values
The total magnetization is 5.090 μB per formula unit. As for the density of states at the Fermi level: 0.441 states/eV/atom. For the calculated volume, the calculation gives 27.78 Å³/atom. The space-group type is P4/mmm, No. 123.

ii.
A plane-wave DFT calculation with GGA-PBE was carried out for a relaxed structure of TlSe2NF.

Unit cell a=4.5145 b=4.5145 c=5.4796 alpha=90.00 beta=90.00 gamma=90.00
Last column: nearest neighbours and their distance in Å.
Atoms (fractional coordinates):
F: 0.0000 0.0000 0.0000  4 Se 2.26
N: 0.0000 0.0000 0.5000  2 F 2.74
Tl: 0.5000 0.5000 0.5000  4 N 3.19, 8 Se 3.55
Se: 0.5000 0.0000 0.0000  2 F 2.26
Se: 0.0000 0.5000 0.0000  2 F 2.26

Calculated values
The total magnetization is 3.024 μB per formula unit. As for the density of states at the Fermi level: 0.590 states/eV/atom. For the calculated volume, the calculation gives 22.34 Å³/atom. The space-group type is P4/mmm, No. 123.

It is i that is the least stable of them.

i.
A plane-wave DFT calculation with GGA-PBE was carried out for a relaxed structure of TlSeNF2.

Unit cell a=4.3874 b=4.3874 c=4.5879 alpha=90.00 beta=90.00 gamma=90.00
Last column: nearest neighbours and their distance in Å.
Atoms (fractional coordinates):
F: 0.0000 0.5000 0.0000  2 Tl 2.19
F: 0.5000 0.0000 0.0000  2 Tl 2.19
Tl: 0.0000 0.0000 0.0000  4 F 2.19, 2 N 2.29
Se: 0.5000 0.5000 0.5000  4 N 3.10, 8 F 3.17
N: 0.0000 0.0000 0.5000  2 Tl 2.29

Calculated values
The total magnetization is 1.831 μB per formula unit. As for the density of states at the Fermi level: 0.354 states/eV/atom. For the calculated volume, the calculation gives 17.66 Å³/atom. The space-group type is P4/mmm, No. 123.

ii.
A plane-wave DFT calculation with GGA-PBE was carried out for a relaxed structure of TlSeNF2.

Unit cell a=4.7589 b=4.7589 c=3.6829 alpha=90.00 beta=90.00 gamma=90.00
Last column: nearest neighbours and their distance in Å.
Atoms (fractional coordinates):
Se: 0.0000 0.0000 0.0000  2 N 1.84
N: 0.0000 0.0000 0.5000  2 Se 1.84
F: 0.5000 0.0000 0.0000  2 Se 2.38
F: 0.0000 0.5000 0.0000  2 Se 2.38
Tl: 0.5000 0.5000 0.5000  8 F 3.01, 4 N 3.37

Calculated values
The total magnetization is 0.000 μB per formula unit. As for the density of states at the Fermi level: 0.140 states/eV/atom. For the calculated volume, the calculation gives 16.68 Å³/atom. The space-group type is P4/mmm, No. 123.

It is i that is the least stable of them.